(1)
The following is a DFT calculation (PBE) of an optimized crystal structure of Y2LuIn3AgPt2.

a = 3.752 Å, b = 7.804 Å, c = 7.804 Å
α = 119.71°, β = 90.00°, γ = 90.00°
Sites, in units of the cell vectors:
Ag (0.000, 0.001, 0.001)
In (0.500, 0.270, 0.001)
In (0.500, 0.001, 0.270)
In (0.500, 0.730, 0.730)
Lu (0.000, 0.410, 0.410)
Pt (0.500, 0.661, 0.335)
Pt (0.500, 0.335, 0.661)
Y (0.000, 0.592, 0.000)
Y (0.000, 0.000, 0.592)

Calculated values
E ... -5.333 eV/atom
Size of the total moment ... 0.00 μB per atom
Density ... 10.0 g/cm³

***

(2)
The following is a DFT calculation (PBE) of an optimized crystal structure of Zr3GaS.

a = 6.122 Å, b = 6.122 Å, c = 9.285 Å
α = 90.00°, β = 90.00°, γ = 145.07°
Sites, in units of the cell vectors:
Ga (0.755, 0.245, 0.250)
Ga (0.245, 0.755, 0.750)
S (0.500, 0.500, 0.000)
S (0.500, 0.500, 0.500)
Zr (0.144, 0.856, 0.059)
Zr (0.432, 0.568, 0.250)
Zr (0.144, 0.856, 0.441)
Zr (0.856, 0.144, 0.559)
Zr (0.568, 0.432, 0.750)
Zr (0.856, 0.144, 0.941)

Calculated values
E ... -7.499 eV/atom
Size of the total moment ... 0.03 μB per atom
Density ... 6.3 g/cm³